Computed, not measured: a relaxed LaErPu2S4 crystal at the PBE level of DFT.

```
LaErPu2S4
1.0
-2.2861 2.7199 1.7792
-5.3521 -1.9300 -3.9265
0.0422 -3.7624 5.8059
La Er Pu S
1 1 2 4
direct
0.0000 0.0000 0.0000
0.5000 0.5000 0.0000
0.5000 0.0000 0.5000
0.0000 0.5000 0.5000
0.5000 0.2635 0.2575
0.5000 0.7365 0.7425
0.0000 0.2611 0.7510
0.0000 0.7389 0.2490
```

Calculated values
Raw total energy (eV per atom): -8.746
Raw formation energy (eV/atom): -1.91
Space-group type: P2/m (10)
M_tot (μB per formula unit): 11.444

Computed, not measured: a relaxed La2ErPuSb4 crystal at the PBE level of DFT.

```
La2ErPuSb4
1.0
4.5219 0.0000 0.0000
0.0000 7.8060 0.1331
0.0000 -2.7299 7.3027
La Er Pu Sb
2 1 1 4
direct
0.5000 0.0000 0.5000
0.0000 0.5000 0.5000
0.5000 0.5000 0.0000
0.0000 0.0000 0.0000
0.5000 0.2468 0.2359
0.5000 0.7532 0.7641
0.0000 0.2565 0.7648
0.0000 0.7435 0.2352
```

Calculated values
Raw total energy (eV per atom): -6.698
Raw formation energy (eV/atom): -1.04
Space-group type: P2/m (10)
M_tot (μB per formula unit): 4.988

Computed, not measured: a relaxed LaEr2PuSe4 crystal at the PBE level of DFT.

```
LaEr2PuSe4
1.0
4.1015 0.0000 0.0000
0.0000 7.1442 0.1375
0.0000 -2.4823 6.7792
La Er Pu Se
1 2 1 4
direct
0.0000 0.0000 0.0000
0.5000 0.0000 0.5000
0.0000 0.5000 0.5000
0.5000 0.5000 0.0000
0.5000 0.2609 0.2678
0.5000 0.7391 0.7322
0.0000 0.2503 0.7364
0.0000 0.7497 0.2636
```

Calculated values
Raw total energy (eV per atom): -7.038
Raw formation energy (eV/atom): -1.75
Space-group type: P2/m (10)
M_tot (μB per formula unit): 5.997

| no. | density of states at the Fermi level (states/eV per cell) |
| --- | --- |
| 1 | 15.2 |
| 2 | 16.8 |
| 3 | 10.0 |